Entry 1:
Entry from the Alexandria database: Na4Al3CrP8O28 at its PBEsol-relaxed geometry (meta-GGA SCAN).

Summary:
Its total DFT energy (no corrections) is -9.89 eV per atom. As for the crystal system: triclinic. As for the theoretical density: 3136 kg/m3. Its symmetry is P1 (1).

The structure in extended XYZ format:
```
44
Lattice="7.2493 0.0000 0.0000 -0.0150 7.7265 0.0000 -3.4686 -0.0207 8.7047" Properties=species:S:1:pos:R:3 pbc="T T T"
Na 0.0000 0.0000 0.0000
Na -1.7444 3.4818 4.3610
Na 1.5961 7.3290 3.5416
Na -0.1205 3.8460 7.8813
Al -0.0724 7.4484 8.3189
Al 5.4396 7.6020 3.9194
Al 3.7182 3.5824 8.2750
Cr 1.6525 3.7213 3.9759
P -0.6263 5.2785 2.1534
P -2.3273 5.9164 6.5182
P 2.1983 2.0553 1.3544
P 0.4579 1.3923 5.7394
P 3.7152 5.6567 2.1638
P 2.0074 5.5687 6.5506
P 5.1223 1.7083 1.3567
P 3.3982 1.7571 5.7140
O -1.8883 6.0205 5.0634
O -0.1508 5.1781 0.7101
O -0.6078 6.7363 2.6399
O -2.3230 4.4564 6.9992
O 0.0166 4.3067 3.1224
O -1.6338 6.8635 7.4718
O -0.2195 0.4497 4.7647
O 1.5106 3.0210 0.4098
O 0.4109 2.8685 5.3128
O 2.1938 0.6026 0.8600
O 1.7296 2.0999 2.8058
O 0.0143 1.2735 7.1887
O 2.6366 4.7415 2.6836
O 3.4496 5.9415 0.6967
O 1.7201 5.3325 5.0722
O 0.9621 6.4855 7.1215
O 2.0097 0.9350 5.5953
O 3.7401 2.5492 1.2559
O 3.9105 6.9078 3.0235
O 4.9361 0.4444 0.5151
O 2.1967 4.2883 7.3671
O 3.2517 3.0346 4.8769
O 5.0776 4.7987 2.2597
O 3.3813 6.4113 6.6575
O 6.1622 2.6364 0.7851
O 4.4382 0.8275 5.1476
O 5.4035 1.4225 2.8242
O 3.6696 2.0354 7.1838
```


Entry 2:
Entry from the Alexandria database: YZn2Os at its PBEsol-relaxed geometry (meta-GGA SCAN).

Summary:
Its formation energy is 0.37 eV/atom. As for the crystal system: trigonal. As for the theoretical density: 10237 kg/m3. Its symmetry is R-3m (166).

The structure in extended XYZ format:
```
12
Lattice="2.8582 0.0000 0.0000 -1.4291 2.4752 0.0000 0.0000 0.0000 28.1990" Properties=species:S:1:pos:R:3 pbc="T T T"
Y 0.0000 0.0000 0.0000
Y 0.0000 1.6502 18.7993
Y 1.4291 0.8251 9.3996
Zn 0.0000 0.0000 6.7718
Zn 0.0000 0.0000 21.4272
Zn 0.0000 1.6502 12.0276
Zn 0.0000 1.6502 25.5710
Zn 1.4291 0.8251 2.6279
Zn 1.4291 0.8251 16.1714
Os 0.0000 0.0000 14.0995
Os 0.0000 1.6502 4.6998
Os 1.4291 0.8251 23.4991
```


Entry 3:
Entry from the Alexandria database: U2Al3C4 at its PBEsol-relaxed geometry (meta-GGA SCAN).

Summary:
Its formation energy is -0.19 eV/atom. As for the crystal system: hexagonal. As for the theoretical density: 8826 kg/m3. Its symmetry is P6_3mc (186).

The structure in extended XYZ format:
```
18
Lattice="3.3755 0.0000 0.0000 -1.6878 2.9233 0.0000 0.0000 0.0000 23.0727" Properties=species:S:1:pos:R:3 pbc="T T T"
U 0.0000 1.9489 0.0000
U 0.0000 1.9489 8.6643
U 1.6878 0.9744 11.5363
U 1.6878 0.9744 20.2007
Al 0.0000 0.0000 2.3173
Al 0.0000 0.0000 6.3486
Al 0.0000 0.0000 13.8536
Al 0.0000 0.0000 17.8849
Al 0.0000 1.9489 15.8759
Al 1.6878 0.9744 4.3396
C 0.0000 0.0000 4.3320
C 0.0000 0.0000 10.1002
C 0.0000 0.0000 15.8683
C 0.0000 0.0000 21.6366
C 0.0000 1.9489 13.1610
C 0.0000 1.9489 18.5689
C 1.6878 0.9744 1.6246
C 1.6878 0.9744 7.0326
```